[1]
The following is a DFT calculation (PBE) of an optimized crystal structure of BaMn2Ir2.

```
BaMn2Ir2
1.0
-2.1646 2.1646 5.1253
2.1646 -2.1646 5.1253
2.1646 2.1646 -5.1253
Ba Mn Ir
1 2 2
direct
0.0000 0.0000 0.0000
0.2500 0.7500 0.5000
0.7500 0.2500 0.5000
0.3534 0.3534 0.0000
0.6466 0.6466 0.0000
```

Properties
* V: 96.06 Å³ per cell
* crystal system: tetragonal
* formation enthalpy at 0 K: 0.273 eV per atom



[2]
The following is a DFT calculation (PBE) of an optimized crystal structure of SrHfAu3.

```
SrHfAu3
1.0
5.3567 0.0000 0.0000
0.0000 5.3567 0.0000
0.0000 0.0000 5.3567
Sr Hf Au
1 1 3
direct
0.0000 0.0000 0.0000
0.5000 0.5000 0.5000
0.0000 0.0000 0.5000
0.0000 0.5000 0.0000
0.5000 0.0000 0.0000
```

Properties
* V: 153.71 Å³ per cell
* relative energy among the computed polymorphs: 1.199 eV/atom
* crystal system: cubic
* formation enthalpy at 0 K: 1.003 eV per atom



[3]
The following is a DFT calculation (PBE) of an optimized crystal structure of Cs4PaO5.

```
Cs4PaO5
1.0
-4.6329 4.6329 3.0462
4.6329 -4.6329 3.0462
4.6329 4.6329 -3.0462
Cs Pa O
4 1 5
direct
0.1040 0.2982 0.4022
0.2982 0.8960 0.1942
0.7018 0.1040 0.8058
0.8960 0.7018 0.5978
0.5305 0.5305 0.0000
0.2802 0.5658 0.8579
0.4224 0.2802 0.7144
0.5658 0.7079 0.2856
0.7079 0.4224 0.1421
0.8796 0.8796 0.0000
```

Properties
* uncorrected formation energy: -2.070 eV/atom
* V: 261.54 Å³ per cell
* crystal system: tetragonal



[4]
The following is a DFT calculation (PBE) of an optimized crystal structure of TmTlSb2.

```
TmTlSb2
1.0
4.1091 0.0000 0.0000
0.0000 4.1091 0.0000
0.0000 0.0000 6.6188
Tm Tl Sb
1 1 2
direct
0.0000 0.0000 0.0000
0.0000 0.0000 0.5000
0.5000 0.5000 0.2239
0.5000 0.5000 0.7761
```

Properties
* uncorrected formation energy: -0.431 eV/atom
* V: 111.76 Å³ per cell
* relative energy among the computed polymorphs: 0.000 eV/atom
* crystal system: tetragonal



[5]
The following is a DFT calculation (PBE) of an optimized crystal structure of Nd6Cd2Hg.

```
Nd6Cd2Hg
1.0
5.5402 0.0000 0.0000
-2.7701 4.7979 0.0000
0.0000 0.0000 10.4131
Nd Cd Hg
6 2 1
direct
0.0000 0.0000 0.1786
0.0000 0.0000 0.8214
0.3333 0.6667 0.0202
0.3333 0.6667 0.3900
0.6667 0.3333 0.6100
0.6667 0.3333 0.9798
0.3333 0.6667 0.7124
0.6667 0.3333 0.2876
0.0000 0.0000 0.5000
```

Properties
* V: 276.78 Å³ per cell
* relative energy among the computed polymorphs: 0.000 eV/atom
* crystal system: trigonal
* formation enthalpy at 0 K: -0.219 eV per atom



[6]
The following is a DFT calculation (PBE) of an optimized crystal structure of PrBiAs2Rh5.

```
PrBiAs2Rh5
1.0
4.1068 0.0000 0.0000
0.0000 4.1068 0.0000
0.0000 0.0000 10.9492
Pr Bi As Rh
1 1 2 5
direct
0.0000 0.0000 0.0000
0.0000 0.0000 0.5000
0.5000 0.5000 0.2172
0.5000 0.5000 0.7828
0.0000 0.5000 0.3312
0.0000 0.5000 0.6688
0.5000 0.0000 0.3312
0.5000 0.0000 0.6688
0.5000 0.5000 0.0000
```

Properties
* V: 184.67 Å³ per cell
* crystal system: tetragonal
* formation enthalpy at 0 K: -0.431 eV per atom



[7]
The following is a DFT calculation (PBE) of an optimized crystal structure of Tb2PdRh2.

```
Tb2PdRh2
1.0
-2.2422 2.8252 3.9843
2.2422 -2.8252 3.9843
2.2422 2.8252 -3.9843
Tb Pd Rh
2 1 2
direct
0.2067 0.2067 0.0000
0.7933 0.7933 0.0000
0.5000 0.0000 0.5000
0.2307 0.5000 0.7307
0.7693 0.5000 0.2693
```

Properties
* V: 100.96 Å³ per cell
* crystal system: orthorhombic
* formation enthalpy at 0 K: -0.778 eV per atom



[8]
The following is a DFT calculation (PBE) of an optimized crystal structure of PmPrTh4.

```
PmPrTh4
1.0
0.0000 4.7236 4.7236
4.7236 0.0000 4.7236
4.7236 4.7236 0.0000
Pm Pr Th
1 1 4
direct
0.0000 0.0000 0.0000
0.2500 0.2500 0.2500
0.1244 0.6252 0.6252
0.6252 0.1244 0.6252
0.6252 0.6252 0.1244
0.6252 0.6252 0.6252
```

Properties
* V: 210.79 Å³ per cell
* crystal system: cubic
* formation enthalpy at 0 K: 0.259 eV per atom



[9]
The following is a DFT calculation (PBE) of an optimized crystal structure of KGaO2.

```
KGaO2
1.0
4.0034 -4.6331 0.0000
4.0034 4.6331 0.0000
-3.1936 0.0000 4.1974
K Ga O
2 2 4
direct
0.1505 0.8495 0.7500
0.8495 0.1505 0.2500
0.4824 0.5176 0.2500
0.5176 0.4824 0.7500
0.2455 0.4410 0.8408
0.4410 0.2455 0.3408
0.5590 0.7545 0.6592
0.7545 0.5590 0.1592
```

Properties
* uncorrected formation energy: -1.742 eV/atom
* V: 155.71 Å³ per cell
* crystal system: monoclinic



[10]
The following is a DFT calculation (PBE) of an optimized crystal structure of CaZnSn6.

```
CaZnSn6
1.0
4.5924 -8.2383 0.0000
4.5924 8.2383 0.0000
0.0000 0.0000 5.7197
Ca Zn Sn
2 2 12
direct
0.2500 0.7500 0.7788
0.7500 0.2500 0.2212
0.2500 0.2500 0.0000
0.7500 0.7500 0.0000
0.0191 0.3181 0.7405
0.0448 0.9552 0.7290
0.1819 0.4809 0.2595
0.3181 0.0191 0.2595
0.4552 0.5448 0.7290
0.4809 0.1819 0.7405
0.5191 0.8181 0.2595
0.5448 0.4552 0.2710
0.6819 0.9809 0.7405
0.8181 0.5191 0.7405
0.9552 0.0448 0.2710
0.9809 0.6819 0.2595
```

Properties
* V: 432.79 Å³ per cell
* crystal system: orthorhombic
* formation enthalpy at 0 K: -0.099 eV per atom



[11]
The following is a DFT calculation (PBE) of an optimized crystal structure of AcDyB2O6.

```
AcDyB2O6
1.0
4.1557 -4.9285 0.0000
4.1557 4.9285 0.0000
-2.1331 0.0000 6.2136
Ac Dy B O
2 2 4 12
direct
0.1519 0.8481 0.7500
0.8481 0.1519 0.2500
0.4088 0.5912 0.2500
0.5912 0.4088 0.7500
0.1264 0.3643 0.7278
0.3643 0.1264 0.2278
0.6357 0.8736 0.7722
0.8736 0.6357 0.2722
0.0785 0.5966 0.3295
0.1858 0.1906 0.6092
0.1906 0.1858 0.1092
0.2899 0.5186 0.8852
0.4034 0.9215 0.1705
0.4814 0.7101 0.6148
0.5186 0.2899 0.3852
0.5966 0.0785 0.8295
0.7101 0.4814 0.1148
0.8094 0.8142 0.8908
0.8142 0.8094 0.3908
0.9215 0.4034 0.6705
```

Properties
* uncorrected formation energy: -3.097 eV/atom
* V: 254.53 Å³ per cell
* crystal system: monoclinic



[12]
The following is a DFT calculation (PBE) of an optimized crystal structure of ThPaIn6.

```
ThPaIn6
1.0
4.6890 0.0000 0.0000
0.0000 4.6890 0.0000
0.0000 0.0000 9.3984
Th Pa In
1 1 6
direct
0.0000 0.0000 0.0000
0.0000 0.0000 0.5000
0.0000 0.5000 0.2558
0.0000 0.5000 0.7442
0.5000 0.0000 0.2558
0.5000 0.0000 0.7442
0.5000 0.5000 0.0000
0.5000 0.5000 0.5000
```

Properties
* V: 206.64 Å³ per cell
* crystal system: tetragonal
* formation enthalpy at 0 K: -0.236 eV per atom